4
Lattice="-5.287 2.355 -0.826 -0.861 -2.538 -1.725 -2.036 -2.732 5.238" Properties=species:S:1:pos:R:3 comment="In3Te, relaxed, DFT PBE-GGA" spacegroup=P2/m magmom_total_mub_per_cell=0.00 dft_energy_ev_per_atom=-2.873 e_form_raw_ev_per_atom=-0.0334 pbc="T T T"
In -2.089 -2.900 5.102
In -4.816 -2.775 2.221
In -1.395 -2.467 1.892
Te -3.368 -0.140 0.465